KSnO2: relaxed, PBE-GGA.

Cell: 3.2634 5.6429 15.0610 Å, 90.00 90.00 90.00°
With the nearest neighbours (Å) after each atom.
Positions (direct):
O: 0.7500 0.7370 0.1390  2 Sn 2.16
O: 0.2500 0.7630 0.6390  2 Sn 2.16
O: 0.7500 0.8647 0.9468  3 Sn 2.13-2.28
O: 0.2500 0.6353 0.4468  3 Sn 2.13-2.28
O: 0.7500 0.3647 0.5532  3 Sn 2.13-2.28
O: 0.2500 0.2630 0.8610  2 Sn 2.16
O: 0.7500 0.2370 0.3610  2 Sn 2.16
O: 0.2500 0.1353 0.0532  3 Sn 2.13-2.28
Sn: 0.7500 0.7416 0.5451  5 O 2.13-2.28
Sn: 0.2500 0.2584 0.4549  5 O 2.13-2.28
Sn: 0.2500 0.7584 0.0451  5 O 2.13-2.28
Sn: 0.7500 0.2416 0.9549  5 O 2.13-2.28
K: 0.7500 0.2540 0.1824  4 O 2.63-2.80
K: 0.2500 0.7460 0.8176  4 O 2.63-2.80
K: 0.2500 0.2460 0.6824  4 O 2.63-2.80
K: 0.7500 0.7540 0.3176  4 O 2.63-2.80

Total energy in eV per atom: -5.12

---

Pm6Zn5Ga: relaxed, PBE-GGA.

Cell: 5.1689 7.3330 8.1882 Å, 90.00 71.60 90.00°
With the nearest neighbours (Å) after each atom.
Positions (direct):
Pm: 0.5000 0.7518 0.0000  2 Ga 3.16, 6 Zn 3.18-3.19
Pm: 0.1661 0.2489 0.6678  7 Zn 3.15-3.18, 1 Ga 3.16
Pm: 0.8339 0.7511 0.3322  7 Zn 3.15-3.18, 1 Ga 3.16
Pm: 0.8339 0.2489 0.3322  7 Zn 3.15-3.18, 1 Ga 3.16
Pm: 0.5000 0.2482 0.0000  2 Ga 3.16, 6 Zn 3.18-3.19
Pm: 0.1661 0.7511 0.6678  7 Zn 3.15-3.18, 1 Ga 3.16
Zn: 0.6672 0.5000 0.6655  8 Pm 3.17-3.19
Zn: 0.6688 0.0000 0.6624  8 Pm 3.15-3.19
Zn: 0.3312 0.0000 0.3376  8 Pm 3.15-3.19
Zn: 0.3328 0.5000 0.3345  8 Pm 3.17-3.19
Zn: 0.0000 0.5000 0.0000  8 Pm 3.17-3.18
Ga: 0.0000 0.0000 0.0000  8 Pm 3.16

Formation enthalpy at 0 K in eV per atom: -0.3572